No. 1
This record from the Alexandria database describes a geometry-optimized La4Sm4Y5 structure. The functional is GGA-PBE.

abc: 13.1325 13.1325 5.1639
angles: 90.00 90.00 90.00
Space group I4/m (No. 87)
Asymmetric unit:
La 0.0779 0.3836 0.0000 (multiplicity 8)
Sm 0.1535 0.7703 0.0000 (multiplicity 8)
Y 0.0000 0.0000 0.0000 (multiplicity 2)
Y 0.0392 0.1888 0.5000 (multiplicity 8)

E_form = 0.02 eV per atom
Raw total energy = -70.6 eV/f.u.
Density = 5.97 g/cm3

No. 2
This record from the Alexandria database describes a geometry-optimized LaSn2Au structure. The functional is GGA-PBE.

abc: 4.7166 4.7166 4.6331
angles: 90.00 90.00 90.00
Space group P4/mmm (No. 123)
Asymmetric unit:
La 0.0000 0.0000 0.0000 (multiplicity 1)
Sn 0.0000 0.5000 0.5000 (multiplicity 2)
Au 0.5000 0.5000 0.0000 (multiplicity 1)

E_form = -0.59 eV per atom
Raw total energy = -18.6 eV/f.u.
Density = 9.24 g/cm3

No. 3
This record from the Alexandria database describes a geometry-optimized LiVSe3 structure. The functional is GGA-PBE.

abc: 6.6514 6.6514 15.8753
angles: 90.00 90.00 120.00
Space group R-3c (No. 167, hexagonal axes)
Asymmetric unit:
Li 0.0000 0.0000 0.2500 (multiplicity 6)
V 0.0000 0.0000 0.0000 (multiplicity 6)
Se 0.0000 0.3772 0.2500 (multiplicity 18)

Offset from the most stable computed form = 0.76 eV per formula unit
Raw total energy = -24.4 eV/f.u.
Energy relative to the elements, uncorrected = -0.592 eV/atom
Density = 4.83 g/cm3

No. 4
This record from the Alexandria database describes a geometry-optimized ZnPd2I structure. The functional is GGA-PBE.

abc: 4.3233 4.3233 17.4256
angles: 90.00 90.00 90.00
Space group I-42d (No. 122)
Asymmetric unit:
Zn 0.0000 0.0000 0.0000 (multiplicity 4)
Pd 0.2309 0.2500 0.1250 (multiplicity 8)
I 0.0000 0.0000 0.5000 (multiplicity 4)

Offset from the most stable computed form = 0.08 eV per formula unit
Raw total energy = -12.8 eV/f.u.
Energy relative to the elements, uncorrected = 0.094 eV/atom
Density = 8.26 g/cm3

No. 5
This record from the Alexandria database describes a geometry-optimized CsSe2S structure. The functional is GGA-PBE.

abc: 5.9366 5.9366 16.2425
angles: 90.00 90.00 90.00
Space group I4_1/amd (No. 141, origin choice 2)
Asymmetric unit:
Cs 0.0000 0.2500 0.3750 (multiplicity 4)
Se 0.0000 0.0000 0.0000 (multiplicity 8)
S 0.0000 0.2500 0.8750 (multiplicity 4)

Raw total energy = -13.6 eV/f.u.
Energy relative to the elements, uncorrected = -0.408 eV/atom
Density = 3.75 g/cm3

No. 6
This record from the Alexandria database describes a geometry-optimized Tb3Sm3Er structure. The functional is GGA-PBE.

abc: 9.6146 9.6146 5.7365
angles: 90.00 90.00 120.00
Space group P6_3/m (No. 176)
Asymmetric unit:
Tb 0.0951 0.4771 0.2500 (multiplicity 6)
Sm 0.0479 0.2407 0.7500 (multiplicity 6)
Er 0.3333 0.6667 0.7500 (multiplicity 2)

E_form = 0.02 eV per atom
Offset from the most stable computed form = 0.00 eV per formula unit
Raw total energy = -32.5 eV/f.u.
Density = 7.92 g/cm3

No. 7
This record from the Alexandria database describes a geometry-optimized Ac2CuS structure. The functional is GGA-PBE.

abc: 5.3504 5.3504 3.6836
angles: 90.00 90.00 90.00
Space group P4/mmm (No. 123)
Asymmetric unit:
Ac 0.0000 0.5000 0.0000 (multiplicity 2)
Cu 0.0000 0.0000 0.5000 (multiplicity 1)
S 0.5000 0.5000 0.5000 (multiplicity 1)

Offset from the most stable computed form = 0.67 eV per formula unit
Raw total energy = -19.6 eV/f.u.
Energy relative to the elements, uncorrected = -0.789 eV/atom
Density = 8.65 g/cm3

No. 8
This record from the Alexandria database describes a geometry-optimized DyInPt5 structure. The functional is GGA-PBE.

abc: 8.8137 5.2993 11.1341
angles: 90.00 90.00 90.00
Space group Pnma (No. 62)
Asymmetric unit:
Dy 0.2498 0.2500 0.0690 (multiplicity 4)
In 0.1487 0.2500 0.3633 (multiplicity 4)
Pt 0.0264 0.2500 0.5812 (multiplicity 4)
Pt 0.0627 0.5058 0.7964 (multiplicity 8)
Pt 0.0828 0.7500 0.0094 (multiplicity 4)
Pt 0.1949 0.7500 0.2346 (multiplicity 4)

E_form = -0.66 eV per atom
Raw total energy = -42.2 eV/f.u.
Density = 16.00 g/cm3

No. 9
This record from the Alexandria database describes a geometry-optimized La2SmAg2Hg2 structure. The functional is GGA-PBE.

abc: 4.9500 4.9500 27.0663
angles: 90.00 90.00 120.00
Space group R-3m (No. 166, hexagonal axes)
Asymmetric unit:
La 0.0000 0.0000 0.1226 (multiplicity 6)
Sm 0.0000 0.0000 0.0000 (multiplicity 3)
Ag 0.0000 0.0000 0.3923 (multiplicity 6)
Hg 0.0000 0.0000 0.2663 (multiplicity 6)

E_form = -0.28 eV per atom
Raw total energy = -22.8 eV/f.u.
Density = 9.06 g/cm3

No. 10
This record from the Alexandria database describes a geometry-optimized BaAu2N structure. The functional is GGA-PBE.

abc: 6.6569 6.6569 9.3615
angles: 90.00 90.00 90.00
Space group I4_1/amd (No. 141, origin choice 2)
Asymmetric unit:
Ba 0.0000 0.2500 0.3750 (multiplicity 4)
Au 0.0000 0.0000 0.0000 (multiplicity 8)
N 0.0000 0.2500 0.8750 (multiplicity 4)

Raw total energy = -16.4 eV/f.u.
Energy relative to the elements, uncorrected = 0.110 eV/atom
Density = 8.73 g/cm3

No. 11
This record from the Alexandria database describes a geometry-optimized K2InHg4Bi2 structure. The functional is GGA-PBE.

abc: 7.5771 7.5771 10.3281
angles: 90.00 90.00 90.00
Space group I4/mmm (No. 139)
Asymmetric unit:
K 0.0000 0.5000 0.2500 (multiplicity 4)
In 0.0000 0.0000 0.0000 (multiplicity 2)
Hg 0.2276 0.2276 0.5000 (multiplicity 8)
Bi 0.0000 0.0000 0.3038 (multiplicity 4)

E_form = -0.17 eV per atom
Raw total energy = -15.4 eV/f.u.
Density = 7.92 g/cm3

No. 12
This record from the Alexandria database describes a geometry-optimized HoAl12Ni6 structure. The functional is GGA-PBE.

abc: 10.9405 10.9405 8.3641
angles: 90.00 90.00 120.00
Space group R-3m (No. 166, hexagonal axes)
Asymmetric unit:
Ho 0.0000 0.0000 0.0000 (multiplicity 3)
Al 0.0000 0.3817 0.5000 (multiplicity 18)
Al 0.0859 0.1719 0.3268 (multiplicity 18)
Ni 0.0475 0.5238 0.2500 (multiplicity 18)

E_form = -0.44 eV per atom
Raw total energy = -92.5 eV/f.u.
Density = 4.83 g/cm3

No. 13
This record from the Alexandria database describes a geometry-optimized CuMoRh2 structure. The functional is GGA-PBE.

abc: 2.7321 2.7321 26.6110
angles: 90.00 90.00 120.00
Space group R3m (No. 160, hexagonal axes)
Asymmetric unit:
Cu 0.0000 0.0000 0.0000 (multiplicity 3)
Mo 0.0000 0.0000 0.7515 (multiplicity 3)
Rh 0.0000 0.0000 0.2529 (multiplicity 3)
Rh 0.0000 0.0000 0.4996 (multiplicity 3)

E_form = 0.08 eV per atom
Offset from the most stable computed form = 0.87 eV per formula unit
Raw total energy = -29.3 eV/f.u.
Density = 10.58 g/cm3

No. 14
This record from the Alexandria database describes a geometry-optimized Na3Cu2WSe6 structure. The functional is GGA-PBE.

abc: 6.3201 12.2923 7.0656
angles: 90.00 102.32 90.00
Space group C2/m (No. 12)
Asymmetric unit:
Na 0.0000 0.0000 0.0000 (multiplicity 2)
Na 0.0000 0.3162 0.0000 (multiplicity 4)
Cu 0.0000 0.2436 0.5000 (multiplicity 4)
W 0.0000 0.5000 0.5000 (multiplicity 2)
Se 0.1981 0.5000 0.2460 (multiplicity 4)
Se 0.2228 0.1468 0.3066 (multiplicity 8)

Raw total energy = -51.5 eV/f.u.
Energy relative to the elements, uncorrected = -0.453 eV/atom
Density = 5.29 g/cm3

No. 15
This record from the Alexandria database describes a geometry-optimized Ag6Pt5 structure. The functional is GGA-PBE.

abc: 4.9654 6.3871 6.4152
angles: 107.09 105.08 97.24
Space group P-1 (No. 2)
Asymmetric unit:
Ag 0.0849 0.3215 0.3604 (multiplicity 2)
Ag 0.1761 0.1371 0.7243 (multiplicity 2)
Ag 0.2795 0.9546 0.0946 (multiplicity 2)
Pt 0.0000 0.5000 0.0000 (multiplicity 1)
Pt 0.3717 0.7727 0.4586 (multiplicity 2)
Pt 0.4639 0.5851 0.8225 (multiplicity 2)

E_form = 0.03 eV per atom
Offset from the most stable computed form = 0.34 eV per formula unit
Raw total energy = -47.0 eV/f.u.
Density = 14.71 g/cm3

No. 16
This record from the Alexandria database describes a geometry-optimized NaTlCdCl6 structure. The functional is GGA-PBE.

abc: 6.7799 6.7799 12.5467
angles: 90.00 90.00 120.00
Space group P-31c (No. 163)
Asymmetric unit:
Na 0.0000 0.0000 0.0000 (multiplicity 2)
Tl 0.3333 0.6667 0.2500 (multiplicity 2)
Cd 0.3333 0.6667 0.7500 (multiplicity 2)
Cl 0.0030 0.3569 0.1306 (multiplicity 12)

Raw total energy = -25.2 eV/f.u.
Energy relative to the elements, uncorrected = -1.061 eV/atom
Density = 3.67 g/cm3

No. 17
This record from the Alexandria database describes a geometry-optimized NiGePdPb2 structure. The functional is GGA-PBE.

abc: 5.4683 5.4683 4.3361
angles: 90.00 90.00 90.00
Space group P4/mmm (No. 123)
Asymmetric unit:
Ni 0.0000 0.0000 0.0000 (multiplicity 1)
Ge 0.0000 0.0000 0.5000 (multiplicity 1)
Pd 0.5000 0.5000 0.0000 (multiplicity 1)
Pb 0.0000 0.5000 0.5000 (multiplicity 2)

E_form = 0.57 eV per atom
Raw total energy = -20.1 eV/f.u.
Density = 8.35 g/cm3

No. 18
This record from the Alexandria database describes a geometry-optimized PtCl6F2 structure. The functional is GGA-PBE.

abc: 3.6091 5.3154 12.5084
angles: 86.04 85.25 89.84
Space group P-1 (No. 2)
Asymmetric unit:
Pt 0.0000 0.0000 0.0000 (multiplicity 1)
Cl 0.0403 0.7498 0.8523 (multiplicity 2)
Cl 0.4787 0.7587 0.0781 (multiplicity 2)
Cl 0.4831 0.1344 0.4270 (multiplicity 2)
F 0.3507 0.4296 0.3817 (multiplicity 2)

Raw total energy = -23.9 eV/f.u.
Energy relative to the elements, uncorrected = -0.333 eV/atom
Density = 3.10 g/cm3

No. 19
This record from the Alexandria database describes a geometry-optimized MgGa2Si structure. The functional is GGA-PBE.

abc: 3.8852 3.8852 18.7043
angles: 90.00 90.00 120.00
Space group R-3m (No. 166, hexagonal axes)
Asymmetric unit:
Mg 0.0000 0.0000 0.0000 (multiplicity 3)
Ga 0.0000 0.0000 0.2320 (multiplicity 6)
Si 0.0000 0.0000 0.5000 (multiplicity 3)

Offset from the most stable computed form = 0.25 eV per formula unit
Raw total energy = -12.6 eV/f.u.
Energy relative to the elements, uncorrected = 0.108 eV/atom
Density = 3.91 g/cm3

No. 20
This record from the Alexandria database describes a geometry-optimized TbSm2TlO6 structure. The functional is GGA-PBE.

abc: 5.9248 5.9248 15.4444
angles: 90.00 90.00 120.00
Space group R3 (No. 146, hexagonal axes)
Asymmetric unit:
Tb 0.0000 0.0000 0.0000 (multiplicity 3)
Sm 0.0000 0.0000 0.2196 (multiplicity 3)
Sm 0.0000 0.0000 0.7173 (multiplicity 3)
Tl 0.0000 0.0000 0.4994 (multiplicity 3)
O 0.0099 0.2936 0.1064 (multiplicity 9)
O 0.0110 0.7107 0.6088 (multiplicity 9)

Raw total energy = -73.4 eV/f.u.
Energy relative to the elements, uncorrected = -2.724 eV/atom
Density = 8.06 g/cm3

No. 21
This record from the Alexandria database describes a geometry-optimized FeReBr2 structure. The functional is GGA-PBE.

abc: 3.1129 3.1129 26.7942
angles: 90.00 90.00 120.00
Space group R-3m (No. 166, hexagonal axes)
Asymmetric unit:
Fe 0.0000 0.0000 0.0000 (multiplicity 3)
Re 0.0000 0.0000 0.5000 (multiplicity 3)
Br 0.0000 0.0000 0.0927 (multiplicity 6)

Offset from the most stable computed form = 3.14 eV per formula unit
Raw total energy = -19.9 eV/f.u.
Energy relative to the elements, uncorrected = 1.097 eV/atom
Density = 8.90 g/cm3

No. 22
This record from the Alexandria database describes a geometry-optimized Mg2TaAg structure. The functional is GGA-PBE.

abc: 2.9552 2.9552 8.5313
angles: 90.00 90.00 90.00
Space group P4/mmm (No. 123)
Asymmetric unit:
Mg 0.0000 0.0000 0.2420 (multiplicity 2)
Ta 0.5000 0.5000 0.5000 (multiplicity 1)
Ag 0.5000 0.5000 0.0000 (multiplicity 1)

E_form = 0.06 eV per atom
Offset from the most stable computed form = 0.00 eV per formula unit
Raw total energy = -17.7 eV/f.u.
Density = 7.52 g/cm3

No. 23
This record from the Alexandria database describes a geometry-optimized AlCoCu2 structure. The functional is GGA-PBE.

abc: 3.5327 3.5327 3.8110
angles: 90.00 90.00 90.00
Space group P4/mmm (No. 123)
Asymmetric unit:
Al 0.0000 0.0000 0.0000 (multiplicity 1)
Co 0.5000 0.5000 0.0000 (multiplicity 1)
Cu 0.0000 0.5000 0.5000 (multiplicity 2)

E_form = -0.20 eV per atom
Raw total energy = -19.8 eV/f.u.
Density = 7.44 g/cm3